Computed, not measured: a relaxed Rb2CrSb2O6 crystal at the PBE with a Hubbard U level of DFT.

Unit cell a=6.1438 b=6.1438 c=7.2274 alpha=64.85 beta=64.85 gamma=60.00
Atoms (fractional coordinates):
O (0.2421, 0.7798, 0.1983)
Sb (0.5803, 0.5803, 0.2592)
Rb (0.2087, 0.2087, 0.3740)
O (0.7798, 0.7798, 0.1983)
O (0.7579, 0.2202, 0.8017)
Cr (0.0000, 0.0000, 0.0000)
Sb (0.4197, 0.4197, 0.7408)
O (0.7798, 0.2421, 0.1983)
O (0.2202, 0.2202, 0.8017)
O (0.2202, 0.7579, 0.8017)
Rb (0.7913, 0.7913, 0.6260)

Properties
Uncorrected energy   -5.657 eV per atom
V   206 Å³/cell